An optimized crystal structure of DyY5Tm5. Source: Alexandria, functional PBE.

abc: 6.823 6.823 8.485
angles: 75.22 75.27 70.42
Element x y z (fractional)
Dy1 0.000 0.000 0.000
Y1 0.000 0.500 0.000
Y2 0.147 0.645 0.363
Y3 0.316 0.809 0.637
Y4 0.684 0.191 0.363
Y5 0.853 0.355 0.637
Tm1 0.226 0.148 0.277
Tm2 0.352 0.270 0.725
Tm3 0.500 0.500 0.000
Tm4 0.648 0.730 0.275
Tm5 0.774 0.852 0.723

Crystal system ... triclinic
ΔE_f ... 0.156 eV/atom

---

An optimized crystal structure of Dy7YTm12. Source: Alexandria, functional PBE.

abc: 8.590 8.590 8.590
angles: 94.71 94.71 94.71
Element x y z (fractional)
Dy1 0.000 0.000 0.000
Dy2 0.140 0.403 0.468
Dy3 0.403 0.468 0.140
Dy4 0.468 0.140 0.403
Dy5 0.532 0.860 0.597
Dy6 0.597 0.532 0.860
Dy7 0.860 0.597 0.532
Y1 0.500 0.500 0.500
Tm1 0.005 0.930 0.656
Tm2 0.070 0.344 0.995
Tm3 0.196 0.754 0.331
Tm4 0.246 0.669 0.804
Tm5 0.331 0.196 0.754
Tm6 0.344 0.995 0.070
Tm7 0.656 0.005 0.930
Tm8 0.669 0.804 0.246
Tm9 0.754 0.331 0.196
Tm10 0.804 0.246 0.669
Tm11 0.930 0.656 0.005
Tm12 0.995 0.070 0.344

Crystal system ... trigonal
ΔE_f ... 0.315 eV/atom

---

An optimized crystal structure of DyY3Tm5. Source: Alexandria, functional PBE.

abc: 9.631 9.631 6.942
angles: 90.00 90.00 120.00
Element x y z (fractional)
Dy1 0.000 0.000 0.000
Dy2 0.000 0.000 0.500
Y1 0.000 0.360 0.250
Y2 0.000 0.640 0.750
Y3 0.360 0.000 0.250
Y4 0.360 0.360 0.750
Y5 0.640 0.000 0.750
Y6 0.640 0.640 0.250
Tm1 0.000 0.308 0.750
Tm2 0.000 0.692 0.250
Tm3 0.308 0.000 0.750
Tm4 0.308 0.308 0.250
Tm5 0.333 0.667 0.000
Tm6 0.333 0.667 0.500
Tm7 0.667 0.333 0.000
Tm8 0.667 0.333 0.500
Tm9 0.692 0.000 0.250
Tm10 0.692 0.692 0.750

Crystal system ... hexagonal
ΔE_f ... 0.062 eV/atom

---

An optimized crystal structure of Dy2YTm. Source: Alexandria, functional PBE.

abc: 3.535 3.535 10.009
angles: 90.00 90.00 90.00
Element x y z (fractional)
Dy1 0.000 0.000 0.247
Dy2 0.000 0.000 0.753
Y1 0.500 0.500 0.500
Tm1 0.500 0.500 0.000

Crystal system ... tetragonal
ΔE_f ... 0.023 eV/atom

---

An optimized crystal structure of Dy2YTm. Source: Alexandria, functional PBE.

abc: 7.078 7.078 6.113
angles: 106.79 106.79 59.96
Element x y z (fractional)
Dy1 0.125 0.374 0.247
Dy2 0.374 0.125 0.747
Dy3 0.626 0.875 0.253
Dy4 0.875 0.626 0.753
Y1 0.374 0.626 0.750
Y2 0.626 0.374 0.250
Tm1 0.124 0.876 0.250
Tm2 0.876 0.124 0.750

Crystal system ... monoclinic
ΔE_f ... 0.025 eV/atom

---

An optimized crystal structure of Dy8YTm6. Source: Alexandria, functional PBE.

abc: 12.609 12.609 3.588
angles: 90.00 90.00 120.00
Element x y z (fractional)
Dy1 0.101 0.340 0.000
Dy2 0.240 0.899 0.000
Dy3 0.333 0.667 0.000
Dy4 0.340 0.240 0.000
Dy5 0.660 0.760 0.000
Dy6 0.667 0.333 0.000
Dy7 0.760 0.101 0.000
Dy8 0.899 0.660 0.000
Y1 0.000 0.000 0.000
Tm1 0.115 0.627 0.500
Tm2 0.373 0.488 0.500
Tm3 0.488 0.115 0.500
Tm4 0.512 0.885 0.500
Tm5 0.627 0.512 0.500
Tm6 0.885 0.373 0.500

Crystal system ... hexagonal
ΔE_f ... 0.308 eV/atom

---

An optimized crystal structure of Dy4YTm5. Source: Alexandria, functional PBE.

abc: 7.814 7.814 7.814
angles: 99.13 99.13 133.05
Element x y z (fractional)
Dy1 0.050 0.652 0.701
Dy2 0.348 0.050 0.398
Dy3 0.652 0.950 0.602
Dy4 0.950 0.348 0.299
Y1 0.228 0.228 0.000
Tm1 0.269 0.358 0.622
Tm2 0.358 0.735 0.088
Tm3 0.647 0.269 0.912
Tm4 0.735 0.647 0.378
Tm5 0.767 0.767 0.000

Crystal system ... tetragonal
ΔE_f ... 0.313 eV/atom

---

An optimized crystal structure of Dy2Y4Tm3. Source: Alexandria, functional PBE.

abc: 9.884 9.884 6.130
angles: 94.59 94.59 71.49
Element x y z (fractional)
Dy1 0.024 0.736 0.678
Dy2 0.264 0.976 0.822
Dy3 0.736 0.024 0.178
Dy4 0.976 0.264 0.322
Y1 0.072 0.353 0.847
Y2 0.310 0.597 0.987
Y3 0.353 0.072 0.347
Y4 0.403 0.690 0.513
Y5 0.597 0.310 0.487
Y6 0.647 0.928 0.653
Y7 0.690 0.403 0.013
Y8 0.928 0.647 0.153
Tm1 0.094 0.906 0.250
Tm2 0.236 0.430 0.416
Tm3 0.430 0.236 0.916
Tm4 0.570 0.764 0.084
Tm5 0.764 0.570 0.584
Tm6 0.906 0.094 0.750

Crystal system ... monoclinic
ΔE_f ... 0.099 eV/atom

---

An optimized crystal structure of Dy9Y2Tm. Source: Alexandria, functional PBE.

abc: 11.202 11.202 3.479
angles: 90.00 90.00 120.00
Element x y z (fractional)
Dy1 0.000 0.500 0.000
Dy2 0.175 0.349 0.500
Dy3 0.175 0.825 0.500
Dy4 0.349 0.175 0.500
Dy5 0.500 0.000 0.000
Dy6 0.500 0.500 0.000
Dy7 0.651 0.825 0.500
Dy8 0.825 0.175 0.500
Dy9 0.825 0.651 0.500
Y1 0.333 0.667 0.000
Y2 0.667 0.333 0.000
Tm1 0.000 0.000 0.000

Crystal system ... hexagonal
ΔE_f ... 0.062 eV/atom

---

An optimized crystal structure of Dy4Y3Tm4. Source: Alexandria, functional PBE.

abc: 19.674 19.674 4.988
angles: 97.28 97.28 10.29
Element x y z (fractional)
Dy1 0.046 0.046 0.045
Dy2 0.317 0.317 0.318
Dy3 0.683 0.683 0.682
Dy4 0.954 0.954 0.955
Y1 0.137 0.137 0.136
Y2 0.500 0.500 0.500
Y3 0.863 0.863 0.864
Tm1 0.228 0.228 0.228
Tm2 0.409 0.409 0.410
Tm3 0.591 0.591 0.590
Tm4 0.772 0.772 0.772

Crystal system ... monoclinic
ΔE_f ... 0.024 eV/atom

---

An optimized crystal structure of Dy2Y5Tm12. Source: Alexandria, functional PBE.

abc: 5.959 9.617 11.128
angles: 70.07 82.64 88.84
Element x y z (fractional)
Dy1 0.217 0.432 0.080
Dy2 0.783 0.568 0.920
Y1 0.001 0.453 0.668
Y2 0.398 0.038 0.156
Y3 0.500 0.000 0.500
Y4 0.602 0.962 0.844
Y5 0.999 0.547 0.332
Tm1 0.071 0.819 0.013
Tm2 0.073 0.181 0.396
Tm3 0.116 0.094 0.713
Tm4 0.336 0.683 0.772
Tm5 0.429 0.685 0.458
Tm6 0.460 0.314 0.843
Tm7 0.540 0.686 0.157
Tm8 0.571 0.315 0.542
Tm9 0.664 0.317 0.228
Tm10 0.884 0.906 0.287
Tm11 0.927 0.819 0.604
Tm12 0.929 0.181 0.987

Crystal system ... triclinic
ΔE_f ... 0.126 eV/atom

---

An optimized crystal structure of Dy6Y2Tm. Source: Alexandria, functional PBE.

abc: 3.546 8.669 9.369
angles: 89.98 79.16 89.94
Element x y z (fractional)
Dy1 0.113 0.331 0.277
Dy2 0.222 0.667 0.055
Dy3 0.333 0.000 0.833
Dy4 0.667 0.000 0.167
Dy5 0.778 0.333 0.945
Dy6 0.887 0.669 0.723
Y1 0.445 0.333 0.611
Y2 0.555 0.667 0.389
Tm1 0.000 0.000 0.500

Crystal system ... triclinic
ΔE_f ... 0.020 eV/atom

---

An optimized crystal structure of DyY6Tm3. Source: Alexandria, functional PBE.

abc: 8.845 8.845 8.845
angles: 79.60 79.60 79.60
Element x y z (fractional)
Dy1 0.000 0.000 0.000
Dy2 0.500 0.500 0.500
Y1 0.041 0.043 0.333
Y2 0.043 0.333 0.041
Y3 0.212 0.598 0.213
Y4 0.213 0.212 0.598
Y5 0.333 0.041 0.043
Y6 0.402 0.787 0.788
Y7 0.598 0.213 0.212
Y8 0.667 0.959 0.957
Y9 0.787 0.788 0.402
Y10 0.788 0.402 0.787
Y11 0.957 0.667 0.959
Y12 0.959 0.957 0.667
Tm1 0.132 0.606 0.608
Tm2 0.392 0.868 0.394
Tm3 0.394 0.392 0.868
Tm4 0.606 0.608 0.132
Tm5 0.608 0.132 0.606
Tm6 0.868 0.394 0.392

Crystal system ... trigonal
ΔE_f ... 0.323 eV/atom

---

An optimized crystal structure of DyY2Tm9. Source: Alexandria, functional PBE.

abc: 11.091 11.091 3.459
angles: 90.00 90.00 120.00
Element x y z (fractional)
Dy1 0.000 0.000 0.000
Y1 0.333 0.667 0.000
Y2 0.667 0.333 0.000
Tm1 0.000 0.500 0.000
Tm2 0.176 0.352 0.500
Tm3 0.176 0.824 0.500
Tm4 0.352 0.176 0.500
Tm5 0.500 0.000 0.000
Tm6 0.500 0.500 0.000
Tm7 0.648 0.824 0.500
Tm8 0.824 0.176 0.500
Tm9 0.824 0.648 0.500

Crystal system ... hexagonal
ΔE_f ... 0.065 eV/atom

---

An optimized crystal structure of Dy2Y6Tm3. Source: Alexandria, functional PBE.

abc: 16.951 16.951 16.951
angles: 164.06 164.06 22.61
Element x y z (fractional)
Dy1 0.045 0.045 0.000
Dy2 0.955 0.955 0.000
Y1 0.121 0.621 0.500
Y2 0.199 0.199 0.000
Y3 0.379 0.879 0.500
Y4 0.621 0.121 0.500
Y5 0.801 0.801 0.000
Y6 0.879 0.379 0.500
Tm1 0.302 0.302 0.000
Tm2 0.500 0.500 0.000
Tm3 0.698 0.698 0.000

Crystal system ... tetragonal
ΔE_f ... 0.306 eV/atom

---

An optimized crystal structure of Dy3YTm. Source: Alexandria, functional PBE.

abc: 6.254 6.680 9.163
angles: 72.31 89.98 62.14
Element x y z (fractional)
Dy1 0.068 0.198 0.050
Dy2 0.268 0.799 0.449
Dy3 0.333 0.999 0.751
Dy4 0.667 0.001 0.249
Dy5 0.732 0.201 0.551
Dy6 0.932 0.802 0.950
Y1 0.134 0.400 0.349
Y2 0.866 0.600 0.651
Tm1 0.465 0.400 0.852
Tm2 0.535 0.600 0.148

Crystal system ... triclinic
ΔE_f ... 0.005 eV/atom

---

An optimized crystal structure of Dy2YTm5. Source: Alexandria, functional PBE.

abc: 7.021 14.043 4.958
angles: 90.00 90.00 90.00
Element x y z (fractional)
Dy1 0.249 0.126 0.000
Dy2 0.251 0.626 0.000
Dy3 0.749 0.374 0.000
Dy4 0.751 0.874 0.000
Y1 0.000 0.500 0.500
Y2 0.500 0.000 0.500
Tm1 0.000 0.000 0.500
Tm2 0.000 0.249 0.500
Tm3 0.000 0.751 0.500
Tm4 0.250 0.374 0.000
Tm5 0.250 0.874 0.000
Tm6 0.500 0.251 0.500
Tm7 0.500 0.500 0.500
Tm8 0.500 0.749 0.500
Tm9 0.750 0.126 0.000
Tm10 0.750 0.626 0.000

Crystal system ... orthorhombic
ΔE_f ... 0.023 eV/atom

---

An optimized crystal structure of Dy6YTm8. Source: Alexandria, functional PBE.

abc: 9.339 9.339 6.412
angles: 90.00 90.00 120.00
Element x y z (fractional)
Dy1 0.099 0.681 0.089
Dy2 0.319 0.417 0.089
Dy3 0.417 0.099 0.911
Dy4 0.583 0.901 0.089
Dy5 0.681 0.583 0.911
Dy6 0.901 0.319 0.911
Y1 0.000 0.000 0.000
Tm1 0.023 0.336 0.405
Tm2 0.313 0.977 0.405
Tm3 0.333 0.667 0.656
Tm4 0.336 0.313 0.595
Tm5 0.664 0.687 0.405
Tm6 0.667 0.333 0.344
Tm7 0.687 0.023 0.595
Tm8 0.977 0.664 0.595

Crystal system ... trigonal
ΔE_f ... 0.241 eV/atom

---

An optimized crystal structure of Dy5Y6Tm. Source: Alexandria, functional PBE.

abc: 6.149 6.149 11.774
angles: 94.98 94.98 119.94
Element x y z (fractional)
Dy1 0.000 0.000 0.000
Dy2 0.167 0.833 0.500
Dy3 0.333 0.667 0.000
Dy4 0.667 0.333 0.000
Dy5 0.833 0.167 0.500
Y1 0.084 0.418 0.250
Y2 0.249 0.249 0.750
Y3 0.418 0.084 0.250
Y4 0.582 0.916 0.750
Y5 0.751 0.751 0.250
Y6 0.916 0.582 0.750
Tm1 0.500 0.500 0.500

Crystal system ... monoclinic
ΔE_f ... 0.022 eV/atom